First-principles (PBE) data for a relaxed Ce3AgSe6 crystal, as listed in Alexandria via LeMat-Bulk.

abc: 8.967 8.967 6.954
angles: 90.00 90.00 101.61
Sites, in units of the cell vectors:
Ce: 0.107 0.893 0.500
Ce: 0.219 0.424 0.595
Ce: 0.424 0.219 0.095
Ce: 0.576 0.781 0.595
Ce: 0.781 0.576 0.095
Ce: 0.893 0.107 0.000
Ag: 0.298 0.702 0.143
Ag: 0.702 0.298 0.643
Se: 0.045 0.589 0.340
Se: 0.130 0.193 0.296
Se: 0.193 0.130 0.796
Se: 0.274 0.726 0.764
Se: 0.411 0.955 0.340
Se: 0.473 0.527 0.312
Se: 0.527 0.473 0.812
Se: 0.589 0.045 0.840
Se: 0.726 0.274 0.264
Se: 0.807 0.870 0.296
Se: 0.870 0.807 0.796
Se: 0.955 0.411 0.840

Output
symmetry	No. 36
E_form (uncorrected)	-1.457	eV/atom
Fermi-level density of states	22.7	states/eV per cell



First-principles (PBE) data for a relaxed Sr3LiNi crystal, as listed in Alexandria via LeMat-Bulk.

abc: 9.345 4.232 9.630
angles: 90.00 105.40 90.00
Sites, in units of the cell vectors:
Sr: 0.060 0.250 0.241
Sr: 0.300 0.750 0.574
Sr: 0.306 0.250 0.931
Sr: 0.694 0.750 0.069
Sr: 0.700 0.250 0.426
Sr: 0.940 0.750 0.759
Li: 0.382 0.750 0.231
Li: 0.618 0.250 0.769
Ni: 0.038 0.250 0.554
Ni: 0.962 0.750 0.446

Output
symmetry	No. 11
Fermi-level density of states	9.0	states/eV per cell
uncorrected energy	-2.54	eV/atom



First-principles (PBE) data for a relaxed AsS4 crystal, as listed in Alexandria via LeMat-Bulk.

abc: 4.740 4.740 4.740
angles: 90.00 90.00 90.00
Sites, in units of the cell vectors:
As: 0.000 0.000 0.000
S: 0.000 0.000 0.500
S: 0.000 0.500 0.000
S: 0.500 0.000 0.000
S: 0.500 0.500 0.500

Output
symmetry	No. 221
E_form (uncorrected)	1.038	eV/atom
Fermi-level density of states	5.8	states/eV per cell



First-principles (PBE) data for a relaxed K2LiHfSn crystal, as listed in Alexandria via LeMat-Bulk.

abc: 6.587 6.587 5.265
angles: 90.00 90.00 90.00
Sites, in units of the cell vectors:
K: 0.000 0.500 0.000
K: 0.500 0.000 0.000
Li: 0.000 0.000 0.500
Hf: 0.000 0.000 0.000
Sn: 0.500 0.500 0.500

Output
symmetry	No. 123
Fermi-level density of states	6.6	states/eV per cell
uncorrected energy	-2.30	eV/atom



First-principles (PBE) data for a relaxed SmErCoNi crystal, as listed in Alexandria via LeMat-Bulk.

abc: 3.958 5.606 5.606
angles: 40.39 90.00 90.00
Sites, in units of the cell vectors:
Sm: 0.000 0.000 0.000
Er: 0.500 0.284 0.284
Co: 0.000 0.717 0.717
Ni: 0.500 0.582 0.582

Output
symmetry	No. 38
Fermi-level density of states	3.0	states/eV per cell
uncorrected energy	-5.82	eV/atom



First-principles (PBE) data for a relaxed SiGePd2 crystal, as listed in Alexandria via LeMat-Bulk.

abc: 8.275 8.275 8.275
angles: 20.56 20.56 20.56
Sites, in units of the cell vectors:
Si: 0.000 0.000 0.000
Ge: 0.500 0.500 0.500
Pd: 0.257 0.257 0.257
Pd: 0.743 0.743 0.743

Output
symmetry	No. 166
E_form (uncorrected)	-0.331	eV/atom
Fermi-level density of states	2.0	states/eV per cell